Entry 1:
## Cs3Cd9Ag2 (GGA-PBE)

Data for a relaxed structure of Cs3Cd9Ag2.

CIF file:
```
data_Cs3Cd9Ag2
_chemical_formula_sum 'Cs3 Cd9 Ag2'
_symmetry_space_group_name_H-M 'P 1'
_symmetry_Int_Tables_number 1
_cell_length_a 5.0544
_cell_length_b 10.0389
_cell_length_c 10.0389
_cell_angle_alpha 80.76
_cell_angle_beta 75.42
_cell_angle_gamma 75.42
loop_
_symmetry_equiv_pos_as_xyz
'x,y,z'
loop_
_atom_site_label
_atom_site_fract_x
_atom_site_fract_y
_atom_site_fract_z
_atom_site_occupancy
Cs1 0.0000 0.0000 0.0000 1
Cs2 0.7030 0.2970 0.2970 1
Cs3 0.2970 0.7030 0.7030 1
Cd1 0.0000 0.5000 0.5000 1
Cd2 0.6935 0.0160 0.5970 1
Cd3 0.3065 0.9840 0.4030 1
Cd4 0.6935 0.5970 0.0160 1
Cd5 0.3065 0.4030 0.9840 1
Cd6 0.8988 0.8134 0.3891 1
Cd7 0.1012 0.1866 0.6109 1
Cd8 0.8988 0.3891 0.8134 1
Cd9 0.1012 0.6109 0.1866 1
Ag1 0.5000 0.2564 0.7436 1
Ag2 0.5000 0.7436 0.2564 1
```

DFT total energy   -1.22 eV per atom
Calculated formation energy   -3.5 kJ per mole of atoms

Entry 2:
## Cs2RbCo2 (GGA-PBE)

Data for a relaxed structure of Cs2RbCo2.

CIF file:
```
data_Cs2RbCo2
_chemical_formula_sum 'Cs4 Rb2 Co4'
_symmetry_space_group_name_H-M 'P 1'
_symmetry_Int_Tables_number 1
_cell_length_a 10.8662
_cell_length_b 10.8662
_cell_length_c 4.5530
_cell_angle_alpha 90.00
_cell_angle_beta 90.00
_cell_angle_gamma 90.00
loop_
_symmetry_equiv_pos_as_xyz
'x,y,z'
loop_
_atom_site_label
_atom_site_fract_x
_atom_site_fract_y
_atom_site_fract_z
_atom_site_occupancy
Cs1 0.3348 0.8348 0.0000 1
Cs2 0.8348 0.6652 0.0000 1
Cs3 0.6652 0.1652 0.0000 1
Cs4 0.1652 0.3348 0.0000 1
Co1 0.0678 0.5678 0.5000 1
Co2 0.5678 0.9322 0.5000 1
Co3 0.9322 0.4322 0.5000 1
Co4 0.4322 0.0678 0.5000 1
Rb1 0.0000 0.0000 0.0000 1
Rb2 0.5000 0.5000 0.0000 1
```

DFT total energy   -2.39 eV per atom
Calculated formation energy   94.9 kJ per mole of atoms

Entry 3:
## RbNpCo2Br8 (GGA-PBE)

Data for a relaxed structure of RbNpCo2Br8.

CIF file:
```
data_RbNpCo2Br8
_chemical_formula_sum 'Rb1 Np1 Co2 Br8'
_symmetry_space_group_name_H-M 'P 1'
_symmetry_Int_Tables_number 1
_cell_length_a 6.8449
_cell_length_b 6.8449
_cell_length_c 11.1202
_cell_angle_alpha 72.08
_cell_angle_beta 72.08
_cell_angle_gamma 60.00
loop_
_symmetry_equiv_pos_as_xyz
'x,y,z'
loop_
_atom_site_label
_atom_site_fract_x
_atom_site_fract_y
_atom_site_fract_z
_atom_site_occupancy
Rb1 0.5000 0.5000 0.5000 1
Np1 0.0000 0.0000 0.0000 1
Co1 0.2524 0.2524 0.2429 1
Co2 0.7476 0.7476 0.7571 1
Br1 0.1777 0.1777 0.4669 1
Br2 0.6109 0.2816 0.1650 1
Br3 0.8223 0.8223 0.5331 1
Br4 0.9425 0.6109 0.1650 1
Br5 0.0575 0.3891 0.8350 1
Br6 0.2816 0.9425 0.1650 1
Br7 0.7184 0.0575 0.8350 1
Br8 0.3891 0.7184 0.8350 1
```

E_form (uncorrected)   -0.864 eV per atom
DFT total energy   -4.32 eV per atom

Entry 4:
## Cs3NiW (GGA-PBE)

Data for a relaxed structure of Cs3NiW.

CIF file:
```
data_Cs3NiW
_chemical_formula_sum 'Cs3 Ni1 W1'
_symmetry_space_group_name_H-M 'P 1'
_symmetry_Int_Tables_number 1
_cell_length_a 6.4711
_cell_length_b 6.4711
_cell_length_c 6.4711
_cell_angle_alpha 90.00
_cell_angle_beta 90.00
_cell_angle_gamma 90.00
loop_
_symmetry_equiv_pos_as_xyz
'x,y,z'
loop_
_atom_site_label
_atom_site_fract_x
_atom_site_fract_y
_atom_site_fract_z
_atom_site_occupancy
Cs1 0.0000 0.5000 0.0000 1
Cs2 0.0000 0.0000 0.5000 1
Cs3 0.5000 0.0000 0.0000 1
Ni1 0.0000 0.0000 0.0000 1
W1 0.5000 0.5000 0.5000 1
```

DFT total energy   -2.62 eV per atom
Calculated formation energy   158.6 kJ per mole of atoms

| no. | volume (Å³/cell) |
| --- | --- |
| 1 | 475 |
| 2 | 538 |
| 3 | 422 |
| 4 | 271 |